Model a:
{"formula": "Dy2LuRu", "functional": "PBE-GGA", "state": "relaxed", "dos_at_fermi_per_ev_cell": 6.168, "magnetic_moment_mub_per_cell": 0.0, "lattice": [[-1.4113, -0.0978, -3.1678], [2.0355, -0.2387, -2.7992], [-0.2793, -10.6164, -1.4476]], "species": ["Ru", "Lu", "Dy", "Dy"], "frac_coords": [[0.5000, 0.5000, 0.5000], [0.0000, 0.0000, 0.0000], [0.1059, 0.1059, 0.6824], [0.8941, 0.8941, 0.3176]]}

***

Model b:
{"formula": "Dy2LuRu", "functional": "PBE-GGA", "state": "relaxed", "dos_at_fermi_per_ev_cell": 4.721, "magnetic_moment_mub_per_cell": 0.0, "lattice": [[3.4254, 0.0000, 0.0000], [0.0000, 3.4254, 0.0000], [0.0000, 0.0000, 8.7696]], "species": ["Ru", "Lu", "Dy", "Dy"], "frac_coords": [[0.5000, 0.5000, 0.0000], [0.5000, 0.5000, 0.5000], [0.0000, 0.0000, 0.8114], [0.0000, 0.0000, 0.1886]]}

***

Energy ordering: model b at the bottom, the next structure 293 meV/atom above.